P) # PBE-GGA Zr2PtBr, relaxed
data_Zr2PtBr
_symmetry_space_group_name_H-M 'R 3 m'
_symmetry_Int_Tables_number 160
_symmetry_space_group_name_Hall 'R 3 -2"'
_cell_length_a 3.4269
_cell_length_b 3.4269
_cell_length_c 28.4926
_cell_angle_alpha 90.00
_cell_angle_beta 90.00
_cell_angle_gamma 120.00
loop_
_atom_site_label
_atom_site_type_symbol
_atom_site_fract_x
_atom_site_fract_y
_atom_site_fract_z
Zr1 Zr 0.0000 0.0000 0.0000
Zr2 Zr 0.0000 0.0000 0.2448
Pt1 Pt 0.0000 0.0000 0.7290
Br1 Br 0.0000 0.0000 0.5104
# Magnetic moment = 0.0 μB/cell

=====

Q) # PBE-GGA Zr2PtBr, relaxed
data_Zr2PtBr
_symmetry_space_group_name_H-M 'I -4 2 d'
_symmetry_Int_Tables_number 122
_symmetry_space_group_name_Hall 'I -4 2bw'
_cell_length_a 5.931
_cell_length_b 5.931
_cell_length_c 12.957
_cell_angle_alpha 90.00
_cell_angle_beta 90.00
_cell_angle_gamma 90.00
loop_
_atom_site_label
_atom_site_type_symbol
_atom_site_fract_x
_atom_site_fract_y
_atom_site_fract_z
Zr1 Zr 0.224 0.250 0.125
Pt1 Pt 0.000 0.000 0.000
Br1 Br 0.000 0.000 0.500
# Magnetic moment = 0.0 μB/cell

=====

R) # PBE-GGA Zr2PtBr, relaxed
data_Zr2PtBr
_symmetry_space_group_name_H-M 'F m -3 m'
_symmetry_Int_Tables_number 225
_symmetry_space_group_name_Hall '-F 4 2 3'
_cell_length_a 6.811
_cell_length_b 6.811
_cell_length_c 6.811
_cell_angle_alpha 90.00
_cell_angle_beta 90.00
_cell_angle_gamma 90.00
loop_
_atom_site_label
_atom_site_type_symbol
_atom_site_fract_x
_atom_site_fract_y
_atom_site_fract_z
Zr1 Zr 0.250 0.250 0.250
Pt1 Pt 0.000 0.000 0.000
Br1 Br 0.000 0.000 0.500
# Magnetic moment = 0.0 μB/cell

=====

Energy ordering: P) at the bottom, the next structure 73 meV/atom above.

=====

P) # PBE-GGA Zr2PtBr, relaxed
data_Zr2PtBr
_symmetry_space_group_name_H-M 'I -4 m 2'
_symmetry_Int_Tables_number 119
_symmetry_space_group_name_Hall 'I -4 -2'
_cell_length_a 3.927
_cell_length_b 3.927
_cell_length_c 10.683
_cell_angle_alpha 90.00
_cell_angle_beta 90.00
_cell_angle_gamma 90.00
loop_
_atom_site_label
_atom_site_type_symbol
_atom_site_fract_x
_atom_site_fract_y
_atom_site_fract_z
Zr1 Zr 0.000 0.000 0.000
Zr2 Zr 0.000 0.500 0.250
Pt1 Pt 0.000 0.000 0.500
Br1 Br 0.000 0.500 0.750
# Magnetic moment = 0.0 μB/cell

=====

Q) # PBE-GGA Zr2PtBr, relaxed
data_Zr2PtBr
_symmetry_space_group_name_H-M 'P 4 m m'
_symmetry_Int_Tables_number 99
_cell_length_a 3.480
_cell_length_b 3.480
_cell_length_c 7.218
_cell_angle_alpha 90.00
_cell_angle_beta 90.00
_cell_angle_gamma 90.00
loop_
_symmetry_equiv_pos_as_xyz
'x,y,z'
'-y,x,z'
'-x,-y,z'
'y,-x,z'
'-x,y,z'
'y,x,z'
'x,-y,z'
'-y,-x,z'
loop_
_atom_site_label
_atom_site_type_symbol
_atom_site_fract_x
_atom_site_fract_y
_atom_site_fract_z
Zr1 Zr 0.000 0.000 0.000
Zr2 Zr 0.500 0.500 0.293
Pt1 Pt 0.500 0.500 0.839
Br1 Br 0.000 0.000 0.500
# Magnetic moment = 0.0 μB/cell

=====

Energy ordering: Q) at the bottom, the next structure 323 meV/atom above.

=====

P) # PBE-GGA Zr2PtBr, relaxed
data_Zr2PtBr
_symmetry_space_group_name_H-M 'C 1 m 1'
_symmetry_Int_Tables_number 8
_cell_length_a 10.253
_cell_length_b 3.205
_cell_length_c 4.918
_cell_angle_alpha 90.00
_cell_angle_beta 98.90
_cell_angle_gamma 90.00
loop_
_symmetry_equiv_pos_as_xyz
'x,y,z'
'x,-y,z'
'x+1/2,y+1/2,z'
'x+1/2,-y+1/2,z'
loop_
_atom_site_label
_atom_site_type_symbol
_atom_site_fract_x
_atom_site_fract_y
_atom_site_fract_z
Zr1 Zr 0.000 0.000 0.000
Zr2 Zr 0.232 0.000 0.572
Pt1 Pt 0.497 0.000 0.488
Br1 Br 0.236 0.500 0.071
# Magnetic moment = 0.0 μB/cell

=====

Q) # PBE-GGA Zr2PtBr, relaxed
data_Zr2PtBr
_symmetry_space_group_name_H-M 'P m m m'
_symmetry_Int_Tables_number 47
_cell_length_a 3.249
_cell_length_b 3.394
_cell_length_c 8.003
_cell_angle_alpha 90.00
_cell_angle_beta 90.00
_cell_angle_gamma 90.00
loop_
_symmetry_equiv_pos_as_xyz
'x,y,z'
'-x,-y,-z'
'-x,-y,z'
'x,y,-z'
'x,-y,-z'
'-x,y,z'
'-x,y,-z'
'x,-y,z'
loop_
_atom_site_label
_atom_site_type_symbol
_atom_site_fract_x
_atom_site_fract_y
_atom_site_fract_z
Zr1 Zr 0.000 0.000 0.206
Pt1 Pt 0.500 0.500 0.000
Br1 Br 0.500 0.000 0.500
# Magnetic moment = 0.0 μB/cell

=====

Energy ordering: Q) at the bottom, the next structure 130 meV/atom above.

=====

P) # PBE-GGA Zr2PtBr, relaxed
data_Zr2PtBr
_symmetry_space_group_name_H-M 'I m m 2'
_symmetry_Int_Tables_number 44
_cell_length_a 3.212
_cell_length_b 4.892
_cell_length_c 10.332
_cell_angle_alpha 90.00
_cell_angle_beta 90.00
_cell_angle_gamma 90.00
loop_
_symmetry_equiv_pos_as_xyz
'x,y,z'
'-x,-y,z'
'-x,y,z'
'x,-y,z'
'x+1/2,y+1/2,z+1/2'
'-x+1/2,-y+1/2,z+1/2'
'-x+1/2,y+1/2,z+1/2'
'x+1/2,-y+1/2,z+1/2'
loop_
_atom_site_label
_atom_site_type_symbol
_atom_site_fract_x
_atom_site_fract_y
_atom_site_fract_z
Zr1 Zr 0.000 0.000 0.000
Zr2 Zr 0.000 0.500 0.229
Pt1 Pt 0.000 0.000 0.494
Br1 Br 0.000 0.500 0.726
# Magnetic moment = 0.0 μB/cell

=====

Q) # PBE-GGA Zr2PtBr, relaxed
data_Zr2PtBr
_symmetry_space_group_name_H-M 'P 4/m m m'
_symmetry_Int_Tables_number 123
_symmetry_space_group_name_Hall '-P 4 2'
_cell_length_a 3.200
_cell_length_b 3.200
_cell_length_c 7.676
_cell_angle_alpha 90.00
_cell_angle_beta 90.00
_cell_angle_gamma 90.00
loop_
_atom_site_label
_atom_site_type_symbol
_atom_site_fract_x
_atom_site_fract_y
_atom_site_fract_z
Zr1 Zr 0.000 0.000 0.236
Pt1 Pt 0.500 0.500 0.000
Br1 Br 0.500 0.500 0.500
# Magnetic moment = 0.0 μB/cell

=====

R) # PBE-GGA Zr2PtBr, relaxed
data_Zr2PtBr
_symmetry_space_group_name_H-M 'C 1 2/m 1'
_symmetry_Int_Tables_number 12
_cell_length_a 6.948
_cell_length_b 4.174
_cell_length_c 7.097
_cell_angle_alpha 90.00
_cell_angle_beta 103.37
_cell_angle_gamma 90.00
loop_
_symmetry_equiv_pos_as_xyz
'x,y,z'
'-x,-y,-z'
'-x,y,-z'
'x,-y,z'
'x+1/2,y+1/2,z'
'-x+1/2,-y+1/2,-z'
'-x+1/2,y+1/2,-z'
'x+1/2,-y+1/2,z'
loop_
_atom_site_label
_atom_site_type_symbol
_atom_site_fract_x
_atom_site_fract_y
_atom_site_fract_z
Zr1 Zr 0.193 0.000 0.178
Pt1 Pt 0.000 0.500 0.000
Br1 Br 0.000 0.000 0.500
# Magnetic moment = 0.0 μB/cell

=====

Energy ordering: R) at the bottom, the next structure 137 meV/atom above.

=====

P) # PBE-GGA Zr2PtBr, relaxed
data_Zr2PtBr
_symmetry_space_group_name_H-M 'F -4 3 m'
_symmetry_Int_Tables_number 216
_symmetry_space_group_name_Hall 'F -4 2 3'
_cell_length_a 6.911
_cell_length_b 6.911
_cell_length_c 6.911
_cell_angle_alpha 90.00
_cell_angle_beta 90.00
_cell_angle_gamma 90.00
loop_
_atom_site_label
_atom_site_type_symbol
_atom_site_fract_x
_atom_site_fract_y
_atom_site_fract_z
Zr1 Zr 0.000 0.000 0.000
Zr2 Zr 0.250 0.250 0.250
Pt1 Pt 0.000 0.000 0.500
Br1 Br 0.250 0.250 0.750
# Magnetic moment = 5.8 μB/cell

=====

Q) # PBE-GGA Zr2PtBr, relaxed
data_Zr2PtBr
_symmetry_space_group_name_H-M 'P 1 2/m 1'
_symmetry_Int_Tables_number 10
_cell_length_a 4.428
_cell_length_b 3.403
_cell_length_c 5.566
_cell_angle_alpha 90.00
_cell_angle_beta 90.62
_cell_angle_gamma 90.00
loop_
_symmetry_equiv_pos_as_xyz
'x,y,z'
'-x,-y,-z'
'-x,y,-z'
'x,-y,z'
loop_
_atom_site_label
_atom_site_type_symbol
_atom_site_fract_x
_atom_site_fract_y
_atom_site_fract_z
Zr1 Zr 0.000 0.000 0.000
Zr2 Zr 0.500 0.500 0.500
Pt1 Pt 0.000 0.000 0.500
Br1 Br 0.500 0.500 0.000
# Magnetic moment = 0.0 μB/cell

=====

Energy ordering: Q) at the bottom, the next structure 789 meV/atom above.

=====

P) # PBE-GGA ZrPtBr2, relaxed
data_ZrPtBr2
_symmetry_space_group_name_H-M 'C 1 2/m 1'
_symmetry_Int_Tables_number 12
_cell_length_a 6.204
_cell_length_b 9.209
_cell_length_c 4.155
_cell_angle_alpha 90.00
_cell_angle_beta 131.91
_cell_angle_gamma 90.00
loop_
_symmetry_equiv_pos_as_xyz
'x,y,z'
'-x,-y,-z'
'-x,y,-z'
'x,-y,z'
'x+1/2,y+1/2,z'
'-x+1/2,-y+1/2,-z'
'-x+1/2,y+1/2,-z'
'x+1/2,-y+1/2,z'
loop_
_atom_site_label
_atom_site_type_symbol
_atom_site_fract_x
_atom_site_fract_y
_atom_site_fract_z
Zr1 Zr 0.000 0.000 0.000
Pt1 Pt 0.000 0.500 0.000
Br1 Br 0.250 0.250 0.000
# Magnetic moment = 0.0 μB/cell

=====

Q) # PBE-GGA ZrPtBr2, relaxed
data_ZrPtBr2
_symmetry_space_group_name_H-M 'P 4 m m'
_symmetry_Int_Tables_number 99
_cell_length_a 3.488
_cell_length_b 3.488
_cell_length_c 8.492
_cell_angle_alpha 90.00
_cell_angle_beta 90.00
_cell_angle_gamma 90.00
loop_
_symmetry_equiv_pos_as_xyz
'x,y,z'
'-y,x,z'
'-x,-y,z'
'y,-x,z'
'-x,y,z'
'y,x,z'
'x,-y,z'
'-y,-x,z'
loop_
_atom_site_label
_atom_site_type_symbol
_atom_site_fract_x
_atom_site_fract_y
_atom_site_fract_z
Zr1 Zr 0.000 0.000 0.000
Pt1 Pt 0.500 0.500 0.851
Br1 Br 0.000 0.000 0.665
Br2 Br 0.500 0.500 0.236
# Magnetic moment = 0.0 μB/cell

=====

R) # PBE-GGA ZrPtBr2, relaxed
data_ZrPtBr2
_symmetry_space_group_name_H-M 'I m m m'
_symmetry_Int_Tables_number 71
_symmetry_space_group_name_Hall '-I 2 2'
_cell_length_a 3.339
_cell_length_b 4.547
_cell_length_c 15.150
_cell_angle_alpha 90.00
_cell_angle_beta 90.00
_cell_angle_gamma 90.00
loop_
_atom_site_label
_atom_site_type_symbol
_atom_site_fract_x
_atom_site_fract_y
_atom_site_fract_z
Zr1 Zr 0.000 0.000 0.000
Pt1 Pt 0.000 0.000 0.500
Br1 Br 0.000 0.500 0.354
# Magnetic moment = 0.0 μB/cell

=====

S) # PBE-GGA ZrPtBr2, relaxed
data_ZrPtBr2
_symmetry_space_group_name_H-M 'C m m m'
_symmetry_Int_Tables_number 65
_symmetry_space_group_name_Hall '-C 2 2'
_cell_length_a 3.265
_cell_length_b 5.838
_cell_length_c 9.391
_cell_angle_alpha 90.00
_cell_angle_beta 90.00
_cell_angle_gamma 90.00
loop_
_atom_site_label
_atom_site_type_symbol
_atom_site_fract_x
_atom_site_fract_y
_atom_site_fract_z
Zr1 Zr 0.000 0.000 0.000
Pt1 Pt 0.000 0.000 0.500
Br1 Br 0.000 0.500 0.232
# Magnetic moment = 0.0 μB/cell

=====

Energy ordering: Q) at the bottom, the next structure 106 meV/atom above.

=====

P) # PBE-GGA RbPuBr3, relaxed
data_RbPuBr3
_symmetry_space_group_name_H-M 'P m -3 m'
_symmetry_Int_Tables_number 221
_symmetry_space_group_name_Hall '-P 4 2 3'
_cell_length_a 5.869
_cell_length_b 5.869
_cell_length_c 5.869
_cell_angle_alpha 90.00
_cell_angle_beta 90.00
_cell_angle_gamma 90.00
loop_
_atom_site_label
_atom_site_type_symbol
_atom_site_fract_x
_atom_site_fract_y
_atom_site_fract_z
Rb1 Rb 0.000 0.000 0.000
Pu1 Pu 0.500 0.500 0.500
Br1 Br 0.000 0.500 0.500
# Magnetic moment = 6.0 μB/cell

=====

Q) # PBE-GGA RbPuBr3, relaxed
data_RbPuBr3
_symmetry_space_group_name_H-M 'P n m a'
_symmetry_Int_Tables_number 62
_cell_length_a 9.753
_cell_length_b 4.387
_cell_length_c 16.686
_cell_angle_alpha 90.00
_cell_angle_beta 90.00
_cell_angle_gamma 90.00
loop_
_symmetry_equiv_pos_as_xyz
'x,y,z'
'-x,-y,-z'
'-x+1/2,-y,z+1/2'
'x+1/2,y,-z+1/2'
'x+1/2,-y+1/2,-z+1/2'
'-x+1/2,y+1/2,z+1/2'
'-x,y+1/2,-z'
'x,-y+1/2,z'
loop_
_atom_site_label
_atom_site_type_symbol
_atom_site_fract_x
_atom_site_fract_y
_atom_site_fract_z
Rb1 Rb 0.073 0.250 0.178
Pu1 Pu 0.154 0.750 0.448
Br1 Br 0.029 0.750 0.612
Br2 Br 0.166 0.750 0.011
Br3 Br 0.210 0.250 0.790
# Magnetic moment = 24.0 μB/cell

=====

Energy ordering: Q) at the bottom, the next structure 57 meV/atom above.

=====

P) # PBE-GGA RbPu4Br8, relaxed
data_RbPu4Br8
_symmetry_space_group_name_H-M 'P 63/m m c'
_symmetry_Int_Tables_number 194
_symmetry_space_group_name_Hall '-P 6c 2c'
_cell_length_a 7.9209
_cell_length_b 7.9209
_cell_length_c 18.2208
_cell_angle_alpha 90.00
_cell_angle_beta 90.00
_cell_angle_gamma 120.00
loop_
_atom_site_label
_atom_site_type_symbol
_atom_site_fract_x
_atom_site_fract_y
_atom_site_fract_z
Rb1 Rb 0.0000 0.0000 0.0000
Pu1 Pu 0.0000 0.0000 0.2500
Pu2 Pu 0.0094 0.5047 0.2500
Br1 Br 0.1682 0.3364 0.6436
Br2 Br 0.3333 0.6667 0.1402
# Magnetic moment = 50.0 μB/cell

=====

Q) # PBE-GGA RbPu4Br8, relaxed
data_RbPu4Br8
_symmetry_space_group_name_H-M 'F -4 3 m'
_symmetry_Int_Tables_number 216
_symmetry_space_group_name_Hall 'F -4 2 3'
_cell_length_a 12.514
_cell_length_b 12.514
_cell_length_c 12.514
_cell_angle_alpha 90.00
_cell_angle_beta 90.00
_cell_angle_gamma 90.00
loop_
_atom_site_label
_atom_site_type_symbol
_atom_site_fract_x
_atom_site_fract_y
_atom_site_fract_z
Rb1 Rb 0.000 0.000 0.000
Pu1 Pu 0.114 0.114 0.614
Br1 Br 0.124 0.124 0.376
Br2 Br 0.144 0.144 0.856
# Magnetic moment = 100.0 μB/cell

=====

Energy ordering: P) at the bottom, the next structure 75 meV/atom above.

=====

P) # PBE-GGA RbPuBr4, relaxed
data_RbPuBr4
_symmetry_space_group_name_H-M 'P 4/m b m'
_symmetry_Int_Tables_number 127
_symmetry_space_group_name_Hall '-P 4 2ab'
_cell_length_a 6.999
_cell_length_b 6.999
_cell_length_c 8.549
_cell_angle_alpha 90.00
_cell_angle_beta 90.00
_cell_angle_gamma 90.00
loop_
_atom_site_label
_atom_site_type_symbol
_atom_site_fract_x
_atom_site_fract_y
_atom_site_fract_z
Rb1 Rb 0.000 0.000 0.000
Pu1 Pu 0.000 0.000 0.500
Br1 Br 0.205 0.295 0.297
# Magnetic moment = 10.0 μB/cell

=====

Q) # PBE-GGA RbPuBr4, relaxed
data_RbPuBr4
_symmetry_space_group_name_H-M 'C 1 2/c 1'
_symmetry_Int_Tables_number 15
_cell_length_a 10.021
_cell_length_b 14.609
_cell_length_c 7.167
_cell_angle_alpha 90.00
_cell_angle_beta 120.65
_cell_angle_gamma 90.00
loop_
_symmetry_equiv_pos_as_xyz
'x,y,z'
'-x,-y,-z'
'-x,y,-z+1/2'
'x,-y,z+1/2'
'x+1/2,y+1/2,z'
'-x+1/2,-y+1/2,-z'
'-x+1/2,y+1/2,-z+1/2'
'x+1/2,-y+1/2,z+1/2'
loop_
_atom_site_label
_atom_site_type_symbol
_atom_site_fract_x
_atom_site_fract_y
_atom_site_fract_z
Rb1 Rb 0.000 0.137 0.250
Pu1 Pu 0.000 0.485 0.750
Br1 Br 0.101 0.344 0.560
Br2 Br 0.235 0.059 0.807
# Magnetic moment = 20.0 μB/cell

=====

Energy ordering: Q) at the bottom, the next structure 60 meV/atom above.

=====

P) # PBE-GGA Pu2RuBr, relaxed
data_Pu2RuBr
_symmetry_space_group_name_H-M 'P 4/m m m'
_symmetry_Int_Tables_number 123
_symmetry_space_group_name_Hall '-P 4 2'
_cell_length_a 3.349
_cell_length_b 3.349
_cell_length_c 8.109
_cell_angle_alpha 90.00
_cell_angle_beta 90.00
_cell_angle_gamma 90.00
loop_
_atom_site_label
_atom_site_type_symbol
_atom_site_fract_x
_atom_site_fract_y
_atom_site_fract_z
Pu1 Pu 0.000 0.000 0.215
Ru1 Ru 0.500 0.500 0.000
Br1 Br 0.500 0.500 0.500
# Magnetic moment = 10.9 μB/cell

=====

Q) # PBE-GGA Pu2RuBr, relaxed
data_Pu2RuBr
_symmetry_space_group_name_H-M 'R -3 m'
_symmetry_Int_Tables_number 166
_symmetry_space_group_name_Hall '-R 3 2"'
_cell_length_a 3.9289
_cell_length_b 3.9289
_cell_length_c 23.1119
_cell_angle_alpha 90.00
_cell_angle_beta 90.00
_cell_angle_gamma 120.00
loop_
_atom_site_label
_atom_site_type_symbol
_atom_site_fract_x
_atom_site_fract_y
_atom_site_fract_z
Pu1 Pu 0.0000 0.0000 0.2333
Ru1 Ru 0.0000 0.0000 0.5000
Br1 Br 0.0000 0.0000 0.0000
# Magnetic moment = 30.6 μB/cell

=====

Energy ordering: P) at the bottom, the next structure 45 meV/atom above.

=====

P) # PBE-GGA Pu2SbBr, relaxed
data_Pu2SbBr
_symmetry_space_group_name_H-M 'R 3 m'
_symmetry_Int_Tables_number 160
_symmetry_space_group_name_Hall 'R 3 -2"'
_cell_length_a 5.2791
_cell_length_b 5.2791
_cell_length_c 15.9109
_cell_angle_alpha 90.00
_cell_angle_beta 90.00
_cell_angle_gamma 120.00
loop_
_atom_site_label
_atom_site_type_symbol
_atom_site_fract_x
_atom_site_fract_y
_atom_site_fract_z
Pu1 Pu 0.0000 0.0000 0.0000
Pu2 Pu 0.0000 0.0000 0.1636
Sb1 Sb 0.0000 0.0000 0.3640
Br1 Br 0.0000 0.0000 0.8221
# Magnetic moment = 1.2 μB/cell

=====

Q) # PBE-GGA Pu2SbBr, relaxed
data_Pu2SbBr
_symmetry_space_group_name_H-M 'F m -3 m'
_symmetry_Int_Tables_number 225
_symmetry_space_group_name_Hall '-F 4 2 3'
_cell_length_a 7.510
_cell_length_b 7.510
_cell_length_c 7.510
_cell_angle_alpha 90.00
_cell_angle_beta 90.00
_cell_angle_gamma 90.00
loop_
_atom_site_label
_atom_site_type_symbol
_atom_site_fract_x
_atom_site_fract_y
_atom_site_fract_z
Pu1 Pu 0.250 0.250 0.250
Sb1 Sb 0.000 0.000 0.000
Br1 Br 0.000 0.000 0.500
# Magnetic moment = 47.9 μB/cell

=====

Energy ordering: Q) at the bottom, the next structure 421 meV/atom above.